Compound: Li2AlGe2
Source: the Alexandria database
Functional: GGA-PBE
Structure: relaxed

a = 7.6896 Å, b = 7.6896 Å, c = 2.8024 Å
α = 90.00°, β = 90.00°, γ = 90.00°
Last column: nearest neighbours and their distance in Å.
Space group P4/mbm (No. 127)
Unique sites:
Li: 0.1141 0.3859 0.0000 (multiplicity 4)  1 Li 2.48, 6 Ge 2.60-2.75
Al: 0.0000 0.0000 0.0000 (multiplicity 2)  2 Al 2.80, 4 Li 3.09
Ge: 0.1851 0.6851 0.5000 (multiplicity 4)  6 Li 2.60-2.75, 2 Ge 2.80

Size of the total moment   0.000 μB per atom
VASP energy   -3.42 eV/atom
Fermi-level density of states   3.435 states/eV/cell
Calculated volume   165.71 Å³/cell
DFT formation energy   -0.062 eV per atom



Compound: Eu2YPb
Source: the Alexandria database
Functional: GGA-PBE
Structure: relaxed

a = 4.9331 Å, b = 4.9331 Å, c = 5.2398 Å
α = 90.00°, β = 90.00°, γ = 90.00°
Last column: nearest neighbours and their distance in Å.
Space group P4/mmm (No. 123)
Unique sites:
Eu: 0.0000 0.5000 0.0000 (multiplicity 2)  4 Eu 3.49, 4 Pb 3.60, 4 Y 3.60
Y: 0.0000 0.0000 0.5000 (multiplicity 1)  4 Pb 3.49, 8 Eu 3.60
Pb: 0.5000 0.5000 0.5000 (multiplicity 1)  4 Y 3.49, 8 Eu 3.60

Size of the total moment   3.686 μB per atom
VASP energy   -7.98 eV/atom
Fermi-level density of states   3.501 states/eV/cell
Calculated volume   127.51 Å³/cell
DFT formation energy   -0.296 eV per atom



Please write out number 1 again, unchanged.
Compound: Li2AlGe2
Source: the Alexandria database
Functional: GGA-PBE
Structure: relaxed

a = 7.6896 Å, b = 7.6896 Å, c = 2.8024 Å
α = 90.00°, β = 90.00°, γ = 90.00°
Last column: nearest neighbours and their distance in Å.
Space group P4/mbm (No. 127)
Unique sites:
Li: 0.1141 0.3859 0.0000 (multiplicity 4)  1 Li 2.48, 6 Ge 2.60-2.75
Al: 0.0000 0.0000 0.0000 (multiplicity 2)  2 Al 2.80, 4 Li 3.09
Ge: 0.1851 0.6851 0.5000 (multiplicity 4)  6 Li 2.60-2.75, 2 Ge 2.80

Size of the total moment   0.000 μB per atom
VASP energy   -3.42 eV/atom
Fermi-level density of states   3.435 states/eV/cell
Calculated volume   165.71 Å³/cell
DFT formation energy   -0.062 eV per atom



Among the records above, which one has the highest Fermi-level density of states? Eu2YPb



Repeat the second record exactly.
Compound: Eu2YPb
Source: the Alexandria database
Functional: GGA-PBE
Structure: relaxed

a = 4.9331 Å, b = 4.9331 Å, c = 5.2398 Å
α = 90.00°, β = 90.00°, γ = 90.00°
Last column: nearest neighbours and their distance in Å.
Space group P4/mmm (No. 123)
Unique sites:
Eu: 0.0000 0.5000 0.0000 (multiplicity 2)  4 Eu 3.49, 4 Pb 3.60, 4 Y 3.60
Y: 0.0000 0.0000 0.5000 (multiplicity 1)  4 Pb 3.49, 8 Eu 3.60
Pb: 0.5000 0.5000 0.5000 (multiplicity 1)  4 Y 3.49, 8 Eu 3.60

Size of the total moment   3.686 μB per atom
VASP energy   -7.98 eV/atom
Fermi-level density of states   3.501 states/eV/cell
Calculated volume   127.51 Å³/cell
DFT formation energy   -0.296 eV per atom